[1]
A geometry-optimized Nd6Er2Hg structure, computed with PBE.

Unit cell a=3.6010 b=10.3550 c=15.9930 alpha=90.00 beta=90.00 gamma=90.00
Last column: nearest neighbours and their distance in Å.
Space group Immm (No. 71)
Unique sites:
Nd 0.0000 0.1625 0.1770  1 Hg 3.29, 7 Nd 3.36-3.64, 3 Er 3.52-3.67
Nd 0.0000 0.2013 0.5000  2 Hg 3.58, 6 Nd 3.60-3.64, 4 Er 3.69
Er 0.0000 0.5000 0.1531  10 Nd 3.52-3.69, 2 Er 3.60
Hg 0.0000 0.0000 0.0000  8 Nd 3.29-3.58, 2 Hg 3.60

Results
Energy = -4.23 eV/atom
Crystal system = orthorhombic



[2]
A geometry-optimized Nd2ErHg structure, computed with PBE.

Unit cell a=5.2142 b=5.2142 c=8.9410 alpha=90.00 beta=90.00 gamma=90.00
Last column: nearest neighbours and their distance in Å.
Space group P4/nmm (No. 129, origin choice 2)
Unique sites:
Nd 0.2500 0.2500 0.2210  4 Hg 3.27, 4 Nd 3.61
Nd 0.2500 0.7500 0.5000  8 Nd 3.61-3.69, 4 Er 3.64
Er 0.2500 0.2500 0.7844  4 Hg 3.24
Hg 0.2500 0.7500 0.0000  4 Er 3.24, 4 Nd 3.27

Results
Energy = -3.83 eV/atom
Crystal system = tetragonal
Excess energy over the best structure of this formula in the dataset = 0.0 meV/atom



[3]
A geometry-optimized NdErHg6 structure, computed with PBE.

Unit cell a=4.5587 b=4.5587 c=9.6616 alpha=90.00 beta=90.00 gamma=90.00
Last column: nearest neighbours and their distance in Å.
Space group P4/mmm (No. 123)
Unique sites:
Nd 0.0000 0.0000 0.0000  12 Hg 3.22-3.36
Er 0.0000 0.0000 0.5000  12 Hg 3.22-3.28
Hg 0.0000 0.5000 0.2560  8 Hg 3.22-3.36, 2 Er 3.28, 2 Nd 3.36
Hg 0.5000 0.5000 0.0000  4 Nd 3.22, 8 Hg 3.36
Hg 0.5000 0.5000 0.5000  4 Er 3.22, 8 Hg 3.28

Results
Energy = -1.71 eV/atom
Crystal system = tetragonal
Excess energy over the best structure of this formula in the dataset = 30.8 meV/atom



[4]
A geometry-optimized Nd3ErHg5 structure, computed with PBE.

Unit cell a=9.2761 b=9.2761 c=6.6545 alpha=90.00 beta=90.00 gamma=120.00
Last column: nearest neighbours and their distance in Å.
Space group P6_3/mcm (No. 193)
Unique sites:
Nd 0.0000 0.3719 0.2500  9 Hg 3.12-3.41
Er 0.0000 0.0000 0.0000  6 Hg 3.18, 2 Er 3.33
Hg 0.0000 0.2922 0.7500  5 Nd 3.12-3.41, 2 Er 3.18
Hg 0.3333 0.6667 0.0000  8 Hg 3.33-3.70, 6 Nd 3.37

Results
Energy = -2.70 eV/atom
Crystal system = hexagonal



[5]
A geometry-optimized NdErHg structure, computed with PBE.

Unit cell a=7.3033 b=7.3033 c=7.3033 alpha=90.00 beta=90.00 gamma=90.00
Last column: nearest neighbours and their distance in Å.
Space group F-43m (No. 216)
Unique sites:
Nd 0.0000 0.0000 0.0000  4 Hg 3.16
Er 0.0000 0.0000 0.5000  4 Hg 3.16
Hg 0.2500 0.2500 0.2500  4 Er 3.16, 4 Nd 3.16

Results
Energy = -3.31 eV/atom
Crystal system = cubic
Excess energy over the best structure of this formula in the dataset = 206.5 meV/atom



[6]
A geometry-optimized NdEr2Hg structure, computed with PBE.

Unit cell a=3.6427 b=3.6427 c=31.5840 alpha=90.00 beta=90.00 gamma=120.00
Last column: nearest neighbours and their distance in Å.
Space group R3m (No. 160, hexagonal axes)
Unique sites:
Nd 0.0000 0.0000 0.0000  6 Er 3.60, 6 Nd 3.64
Er 0.0000 0.0000 0.5740  3 Hg 3.15
Er 0.0000 0.0000 0.7593  3 Hg 3.14
Hg 0.0000 0.0000 0.1664  6 Er 3.14-3.15

Results
Energy = -3.70 eV/atom
Crystal system = trigonal
Excess energy over the best structure of this formula in the dataset = 86.5 meV/atom



[7]
A geometry-optimized NdEr2Hg structure, computed with PBE.

Unit cell a=4.8428 b=4.8428 c=4.8041 alpha=90.00 beta=90.00 gamma=90.00
Last column: nearest neighbours and their distance in Å.
Space group P4/mmm (No. 123)
Unique sites:
Nd 0.0000 0.0000 0.0000  8 Er 3.41, 4 Hg 3.42
Er 0.0000 0.5000 0.5000  4 Hg 3.41, 4 Nd 3.41, 4 Er 3.42
Hg 0.5000 0.5000 0.0000  8 Er 3.41, 4 Nd 3.42

Results
Energy = -3.70 eV/atom
Crystal system = tetragonal
Excess energy over the best structure of this formula in the dataset = 85.0 meV/atom



[8]
A geometry-optimized NdErHg3 structure, computed with PBE.

Unit cell a=3.5909 b=29.1834 c=4.9581 alpha=90.00 beta=90.00 gamma=90.00
Last column: nearest neighbours and their distance in Å.
Space group Cmcm (No. 63)
Unique sites:
Nd 0.0000 0.0763 0.2500  12 Hg 3.36-3.62, 2 Nd 3.59
Er 0.0000 0.2107 0.7500  7 Hg 3.07-3.16
Hg 0.0000 0.3160 0.7500  2 Hg 3.04, 5 Er 3.07-3.16
Hg 0.0000 0.3762 0.2500  3 Hg 2.90-3.04, 2 Er 3.11
Hg 0.0000 0.4754 0.2500  3 Hg 2.86-2.90

Results
Energy = -2.47 eV/atom
Crystal system = orthorhombic
Excess energy over the best structure of this formula in the dataset = 0.0 meV/atom



[9]
A geometry-optimized Nd2Er2Hg3 structure, computed with PBE.

Unit cell a=5.2079 b=5.2079 c=25.8665 alpha=90.00 beta=90.00 gamma=120.00
Last column: nearest neighbours and their distance in Å.
Space group R-3m (No. 166, hexagonal axes)
Unique sites:
Nd 0.0000 0.0000 0.1272  5 Hg 3.24-3.29
Er 0.0000 0.0000 0.3765  7 Hg 3.15-3.21
Hg 0.0000 0.0000 0.0000  6 Er 3.21, 2 Nd 3.29
Hg 0.0000 0.0000 0.2533  4 Er 3.15-3.19, 4 Nd 3.24-3.26

Results
Energy = -3.11 eV/atom
Crystal system = trigonal



[10]
A geometry-optimized Nd3ErHg4 structure, computed with PBE.

Unit cell a=3.8676 b=7.6827 c=16.2276 alpha=90.00 beta=90.00 gamma=90.00
Last column: nearest neighbours and their distance in Å.
Space group Immm (No. 71)
Unique sites:
Nd 0.0000 0.0000 0.0000  8 Hg 3.25
Nd 0.0000 0.5000 0.2012  6 Hg 3.19-3.20
Er 0.0000 0.0000 0.5000  4 Hg 3.07
Hg 0.0000 0.2942 0.3717  1 Er 3.07, 1 Hg 3.16, 5 Nd 3.19-3.25

Results
Energy = -2.84 eV/atom
Crystal system = orthorhombic
Excess energy over the best structure of this formula in the dataset = 142.6 meV/atom



[11]
A geometry-optimized Nd2ErHg3 structure, computed with PBE.

Unit cell a=3.7649 b=3.7649 c=11.5259 alpha=90.00 beta=90.00 gamma=90.00
Last column: nearest neighbours and their distance in Å.
Space group P4/mmm (No. 123)
Unique sites:
Nd 0.0000 0.0000 0.1714  8 Hg 3.31-3.36
Er 0.0000 0.0000 0.5000  8 Hg 3.18
Hg 0.5000 0.5000 0.0000  8 Nd 3.31
Hg 0.5000 0.5000 0.3487  4 Er 3.18, 4 Nd 3.36, 1 Hg 3.49

Results
Energy = -2.97 eV/atom
Crystal system = tetragonal



[12]
A geometry-optimized NdEr2Hg3 structure, computed with PBE.

Unit cell a=3.7280 b=3.7280 c=11.2977 alpha=90.00 beta=90.00 gamma=90.00
Last column: nearest neighbours and their distance in Å.
Space group P4/mmm (No. 123)
Unique sites:
Nd 0.0000 0.0000 0.0000  8 Hg 3.34, 4 Nd 3.73
Er 0.0000 0.0000 0.3378  8 Hg 3.17-3.21
Hg 0.5000 0.5000 0.1821  4 Er 3.17, 4 Nd 3.34
Hg 0.5000 0.5000 0.5000  8 Er 3.21, 2 Hg 3.59

Results
Energy = -2.94 eV/atom
Crystal system = tetragonal



In order of appearance, E_form = 0.000, -0.228, -0.319, -0.431, -0.095, -0.151, -0.152, -0.424, -0.318, -0.329, -0.471, -0.476 eV per atom.
In order of appearance, total magnetization = 0.00, 0.00, 0.00, 0.00, 0.02, 0.00, 0.48, 0.81, 2.44, 0.00, 1.04, 0.68 μB per cell.
In order of appearance, N(E_F) = 1.30, 1.16, 0.70, 1.00, 1.50, 1.13, 1.32, 1.02, 1.33, 0.91, 1.12, 0.91 states/eV per atom.